Version i
This record from Alexandria via LeMat-Bulk describes an optimized crystal structure of Tm2LuCd. The functional is PBE-GGA.

Output
As for the spin magnetization: 0.0 μB per formula unit. As for the space-group type: R-3m. The value obtained for the density of states at the Fermi level is 2.83 states/eV/f.u. The calculation puts the calculated density at 8.7 g/cm3.

Cell lengths 12.034, 12.034, 12.034 Å; angles 16.28, 16.28, 16.28 degrees
Sites, in units of the cell vectors:
Tm1 0.089 0.089 0.089
Tm2 0.911 0.911 0.911
Lu1 0.500 0.500 0.500
Cd1 0.000 0.000 0.000

Version ii
This record from Alexandria via LeMat-Bulk describes an optimized crystal structure of Tm2LuCd. The functional is PBE-GGA.

Output
As for the spin magnetization: 0.0 μB per formula unit. As for the space-group type: P4/mmm. The value obtained for the density of states at the Fermi level is 4.94 states/eV/f.u. The calculation puts the calculated density at 9.4 g/cm3.

Cell lengths 3.516, 3.516, 8.967 Å; angles 90.00, 90.00, 90.00 degrees
Sites, in units of the cell vectors:
Tm1 0.000 0.000 0.232
Tm2 0.000 0.000 0.768
Lu1 0.500 0.500 0.500
Cd1 0.500 0.500 0.000

It is version i that is the least stable of them.

Version i
This record from Alexandria via LeMat-Bulk describes an optimized crystal structure of TmLu2Cd. The functional is PBE-GGA.

Output
As for the spin magnetization: 0.0 μB per formula unit. As for the space-group type: P4/mmm. The value obtained for the density of states at the Fermi level is 4.35 states/eV/f.u. The calculation puts the calculated density at 9.6 g/cm3.

Cell lengths 3.502, 3.502, 8.950 Å; angles 90.00, 90.00, 90.00 degrees
Sites, in units of the cell vectors:
Tm1 0.000 0.000 0.000
Lu1 0.500 0.500 0.270
Lu2 0.500 0.500 0.730
Cd1 0.000 0.000 0.500

Version ii
This record from Alexandria via LeMat-Bulk describes an optimized crystal structure of TmLu2Cd. The functional is PBE-GGA.

Output
As for the spin magnetization: 0.0 μB per formula unit. As for the space-group type: P4/mmm. The value obtained for the density of states at the Fermi level is 4.30 states/eV/f.u. The calculation puts the calculated density at 9.7 g/cm3.

Cell lengths 4.762, 4.762, 4.760 Å; angles 90.00, 90.00, 90.00 degrees
Sites, in units of the cell vectors:
Tm1 0.000 0.000 0.000
Lu1 0.000 0.500 0.500
Lu2 0.500 0.000 0.500
Cd1 0.500 0.500 0.000

It is version ii that is the least stable of them.